Record 1
A geometry-optimized LiSb2Pt2 structure, computed with PBE-GGA.

Values from the calculation:
Density of states at the Fermi level = 2.0 states/eV per cell
Electronic total energy = -23.74 eV/cell

```
LiSb2Pt2
1.0
-2.319 2.319 5.488
2.319 -2.319 5.488
2.319 2.319 -5.488
Li Sb Pt
1 2 2
Direct
0.000 0.000 0.000
0.367 0.367 0.000
0.633 0.633 0.000
0.250 0.750 0.500
0.750 0.250 0.500
```

Record 2
A geometry-optimized LiSb2Pt2 structure, computed with PBE-GGA.

Values from the calculation:
Density of states at the Fermi level = 2.9 states/eV per cell
Electronic total energy = -23.73 eV/cell

```
LiSb2Pt2
1.0
-2.509 2.509 4.573
2.509 -2.509 4.573
2.509 2.509 -4.573
Li Sb Pt
1 2 2
Direct
0.000 0.000 0.000
0.250 0.750 0.500
0.750 0.250 0.500
0.355 0.355 0.000
0.645 0.645 0.000
```

Record 3
A geometry-optimized LiSb2Pt2 structure, computed with PBE-GGA.

Values from the calculation:
Density of states at the Fermi level = 4.6 states/eV per cell
Electronic total energy = -48.15 eV/cell

```
LiSb2Pt2
1.0
7.407 0.000 0.000
0.000 7.407 0.000
0.000 0.000 3.646
Li Sb Pt
2 4 4
Direct
0.000 0.000 0.000
0.500 0.500 0.000
0.168 0.332 0.500
0.332 0.832 0.500
0.668 0.168 0.500
0.832 0.668 0.500
0.137 0.637 0.000
0.363 0.137 0.000
0.637 0.863 0.000
0.863 0.363 0.000
```